Below is a relaxed HgNCl crystal, with properties calculated at the PBE-GGA level.

It has space group Pmma (No. 51), with a = 7.430 Å, b = 4.133 Å, c = 4.708 Å, α = 90.00°, β = 90.00° and γ = 90.00°. The distinct sites, in fractional coordinates, are Hg at (0.000, 0.000, 0.000), N at (0.250, 0.000, 0.201) and Cl at (0.250, 0.500, 0.712).

As for the total magnetic moment: 4.02 μB/cell. The calculation puts the energy above the most stable polymorph in this dataset at 1215 meV/atom. As for the density of states at the Fermi level: 0.4 states/eV/f.u. The value obtained for the uncorrected formation energy is 1.081 eV/atom. As for the crystal system: orthorhombic.

***

Below is a relaxed Hg5N2Cl3 crystal, with properties calculated at the PBE-GGA level.

It has space group C2/c (No. 15), with a = 11.205 Å, b = 14.489 Å, c = 7.147 Å, α = 90.00°, β = 116.51° and γ = 90.00°. The distinct sites, in fractional coordinates, are Hg at (0.000, 0.009, 0.250), Hg at (0.075, 0.354, 0.591), Hg at (0.145, 0.156, 0.887), N at (0.143, 0.314, 0.907), Cl at (0.000, 0.435, 0.250) and Cl at (0.163, 0.137, 0.462).

As for the total magnetic moment: 0.00 μB/cell. As for the density of states at the Fermi level: 1.2 states/eV/f.u. The value obtained for the uncorrected formation energy is 0.347 eV/atom. As for the crystal system: monoclinic.

***

Below is a relaxed HgNCl3 crystal, with properties calculated at the PBE-GGA level.

It has space group P-1 (No. 2), with a = 4.072 Å, b = 8.182 Å, c = 9.131 Å, α = 87.30°, β = 80.07° and γ = 79.97°. The distinct sites, in fractional coordinates, are Hg at (0.060, 0.058, 0.211), N at (0.358, 0.224, 0.279), Cl at (0.194, 0.158, 0.862), Cl at (0.242, 0.423, 0.202) and Cl at (0.264, 0.237, 0.477).

As for the total magnetic moment: 0.00 μB/cell. The calculation puts the energy above the most stable polymorph in this dataset at 0 meV/atom. The value obtained for the uncorrected formation energy is 0.199 eV/atom. As for the crystal system: triclinic.

***

Below is a relaxed Hg2N2Cl3 crystal, with properties calculated at the PBE-GGA level.

It has space group P-1 (No. 2), with a = 4.116 Å, b = 5.026 Å, c = 10.807 Å, α = 76.78°, β = 84.65° and γ = 87.23°. The distinct sites, in fractional coordinates, are Hg at (0.050, 0.065, 0.367), N at (0.124, 0.693, 0.112), Cl at (0.000, 0.500, 0.500) and Cl at (0.423, 0.866, 0.780).

As for the total magnetic moment: 5.98 μB/cell. As for the density of states at the Fermi level: 0.7 states/eV/f.u. The value obtained for the uncorrected formation energy is 1.179 eV/atom. As for the crystal system: triclinic.

***

Below is a relaxed HgNCl crystal, with properties calculated at the PBE-GGA level.

It has space group Pnma (No. 62), with a = 7.636 Å, b = 6.913 Å, c = 10.274 Å, α = 90.00°, β = 90.00° and γ = 90.00°. The distinct sites, in fractional coordinates, are Hg at (0.000, 0.000, 0.000), Hg at (0.000, 0.000, 0.500), N at (0.002, 0.250, 0.117), N at (0.132, 0.250, 0.568), Cl at (0.122, 0.250, 0.741) and Cl at (0.193, 0.250, 0.218).

As for the total magnetic moment: 0.00 μB/cell. The calculation puts the energy above the most stable polymorph in this dataset at 811 meV/atom. The value obtained for the uncorrected formation energy is 0.677 eV/atom. As for the crystal system: orthorhombic.

***

Below is a relaxed HgN2Cl crystal, with properties calculated at the PBE-GGA level.

It has space group R-3m (No. 166, hexagonal axes), with a = 3.5420 Å, b = 3.5420 Å, c = 17.5840 Å, α = 90.00°, β = 90.00° and γ = 120.00°. The distinct sites, in fractional coordinates, are Hg at (0.0000, 0.0000, 0.0000), N at (0.0000, 0.0000, 0.3935) and Cl at (0.0000, 0.0000, 0.5000).

As for the total magnetic moment: 0.00 μB/cell. The calculation puts the energy above the most stable polymorph in this dataset at 0 meV/atom. As for the density of states at the Fermi level: 2.3 states/eV/f.u. The value obtained for the uncorrected formation energy is 1.559 eV/atom. As for the crystal system: trigonal.

***

Below is a relaxed Hg3N2Cl8O crystal, with properties calculated at the PBE-GGA level.

It has space group C2/m (No. 12), with a = 24.697 Å, b = 3.793 Å, c = 11.032 Å, α = 90.00°, β = 116.14° and γ = 90.00°. The distinct sites, in fractional coordinates, are Hg at (0.000, 0.000, 0.000), Hg at (0.168, 0.000, 0.427), N at (0.054, 0.500, 0.742), Cl at (0.068, 0.000, 0.802), Cl at (0.074, 0.500, 0.135), Cl at (0.092, 0.000, 0.495), Cl at (0.239, 0.000, 0.339) and O at (0.000, 0.500, 0.500).

As for the total magnetic moment: 10.66 μB/cell. As for the density of states at the Fermi level: 2.8 states/eV/f.u. The value obtained for the uncorrected formation energy is 0.450 eV/atom. As for the crystal system: monoclinic.

***

Below is a relaxed HgNClO2 crystal, with properties calculated at the PBE-GGA level.

It has space group P4/mmm (No. 123), with a = 4.261 Å, b = 4.261 Å, c = 3.386 Å, α = 90.00°, β = 90.00° and γ = 90.00°. The distinct sites, in fractional coordinates, are Hg at (0.000, 0.000, 0.000), N at (0.500, 0.500, 0.000), Cl at (0.500, 0.500, 0.500) and O at (0.000, 0.500, 0.500).

As for the total magnetic moment: 0.00 μB/cell. As for the density of states at the Fermi level: 1.8 states/eV/f.u. The value obtained for the uncorrected formation energy is 1.437 eV/atom. As for the crystal system: tetragonal.

***

Below is a relaxed HgNClO2 crystal, with properties calculated at the PBE-GGA level.

It has space group P4/mmm (No. 123), with a = 4.445 Å, b = 4.445 Å, c = 4.322 Å, α = 90.00°, β = 90.00° and γ = 90.00°. The distinct sites, in fractional coordinates, are Hg at (0.000, 0.000, 0.000), N at (0.000, 0.000, 0.500), Cl at (0.500, 0.500, 0.500) and O at (0.000, 0.500, 0.000).

As for the total magnetic moment: 5.02 μB/cell. As for the density of states at the Fermi level: 3.4 states/eV/f.u. The value obtained for the uncorrected formation energy is 1.566 eV/atom. As for the crystal system: tetragonal.

***

Below is a relaxed HgSNClO3 crystal, with properties calculated at the PBE-GGA level.

It has space group Pnma (No. 62), with a = 15.941 Å, b = 5.665 Å, c = 7.894 Å, α = 90.00°, β = 90.00° and γ = 90.00°. The distinct sites, in fractional coordinates, are Hg at (0.017, 0.250, 0.184), S at (0.127, 0.250, 0.575), N at (0.109, 0.250, 0.372), Cl at (0.077, 0.750, 0.042), O at (0.086, 0.032, 0.630) and O at (0.218, 0.250, 0.589).

As for the total magnetic moment: 8.08 μB/cell. The value obtained for the uncorrected formation energy is -0.268 eV/atom. As for the crystal system: orthorhombic.

***

Below is a relaxed HgPb2NCl crystal, with properties calculated at the PBE-GGA level.

It has space group P4/mmm (No. 123), with a = 5.595 Å, b = 5.595 Å, c = 4.106 Å, α = 90.00°, β = 90.00° and γ = 90.00°. The distinct sites, in fractional coordinates, are Hg at (0.000, 0.000, 0.000), Pb at (0.000, 0.500, 0.500), N at (0.500, 0.500, 0.000) and Cl at (0.500, 0.500, 0.500).

As for the total magnetic moment: 0.51 μB/cell. As for the density of states at the Fermi level: 3.0 states/eV/f.u. The value obtained for the uncorrected formation energy is 0.924 eV/atom. As for the crystal system: tetragonal.

***

Below is a relaxed Pr3HgNCl crystal, with properties calculated at the PBE-GGA level.

It has space group P2_1/m (No. 11), with a = 8.016 Å, b = 3.673 Å, c = 11.046 Å, α = 90.00°, β = 105.36° and γ = 90.00°. The distinct sites, in fractional coordinates, are Pr at (0.136, 0.250, 0.131), Pr at (0.283, 0.750, 0.507), Pr at (0.291, 0.750, 0.876), Hg at (0.479, 0.750, 0.273), N at (0.102, 0.250, 0.910) and Cl at (0.009, 0.250, 0.367).

As for the total magnetic moment: 0.00 μB/cell. As for the density of states at the Fermi level: 4.7 states/eV/f.u. The value obtained for the uncorrected formation energy is -1.028 eV/atom. As for the crystal system: monoclinic.

***

Below is a relaxed HgSbNCl2 crystal, with properties calculated at the PBE-GGA level.

It has space group P4/mmm (No. 123), with a = 5.113 Å, b = 5.113 Å, c = 4.154 Å, α = 90.00°, β = 90.00° and γ = 90.00°. The distinct sites, in fractional coordinates, are Hg at (0.000, 0.000, 0.000), Sb at (0.500, 0.500, 0.000), N at (0.000, 0.000, 0.500) and Cl at (0.000, 0.500, 0.500).

As for the total magnetic moment: 0.00 μB/cell. As for the density of states at the Fermi level: 4.4 states/eV/f.u. The value obtained for the uncorrected formation energy is 0.930 eV/atom. As for the crystal system: tetragonal.

***

Below is a relaxed HgSe2NCl crystal, with properties calculated at the PBE-GGA level.

It has space group P4/mmm (No. 123), with a = 5.542 Å, b = 5.542 Å, c = 4.250 Å, α = 90.00°, β = 90.00° and γ = 90.00°. The distinct sites, in fractional coordinates, are Hg at (0.000, 0.000, 0.000), Se at (0.000, 0.500, 0.000), N at (0.000, 0.000, 0.500) and Cl at (0.500, 0.500, 0.500).

As for the total magnetic moment: 5.05 μB/cell. The calculation puts the energy above the most stable polymorph in this dataset at 0 meV/atom. As for the density of states at the Fermi level: 2.4 states/eV/f.u. The value obtained for the uncorrected formation energy is 1.373 eV/atom. As for the crystal system: tetragonal.

***

Below is a relaxed HgSe2NCl crystal, with properties calculated at the PBE-GGA level.

It has space group P4/mmm (No. 123), with a = 5.811 Å, b = 5.811 Å, c = 3.291 Å, α = 90.00°, β = 90.00° and γ = 90.00°. The distinct sites, in fractional coordinates, are Hg at (0.000, 0.000, 0.000), Se at (0.000, 0.500, 0.500), N at (0.500, 0.500, 0.000) and Cl at (0.500, 0.500, 0.500).

As for the total magnetic moment: 0.00 μB/cell. The calculation puts the energy above the most stable polymorph in this dataset at 33 meV/atom. As for the density of states at the Fermi level: 3.4 states/eV/f.u. The value obtained for the uncorrected formation energy is 1.406 eV/atom. As for the crystal system: tetragonal.

***

Below is a relaxed TcHgN2Cl crystal, with properties calculated at the PBE-GGA level.

It has space group P4/mmm (No. 123), with a = 3.851 Å, b = 3.851 Å, c = 5.900 Å, α = 90.00°, β = 90.00° and γ = 90.00°. The distinct sites, in fractional coordinates, are Tc at (0.000, 0.000, 0.000), Hg at (0.000, 0.000, 0.500), N at (0.000, 0.500, 0.000) and Cl at (0.500, 0.500, 0.500).

As for the total magnetic moment: 0.00 μB/cell. As for the density of states at the Fermi level: 2.7 states/eV/f.u. The value obtained for the uncorrected formation energy is 0.550 eV/atom. As for the crystal system: tetragonal.

***

Below is a relaxed TiHgNCl2 crystal, with properties calculated at the PBE-GGA level.

It has space group P4/mmm (No. 123), with a = 5.636 Å, b = 5.636 Å, c = 3.654 Å, α = 90.00°, β = 90.00° and γ = 90.00°. The distinct sites, in fractional coordinates, are Ti at (0.000, 0.000, 0.000), Hg at (0.500, 0.500, 0.000), N at (0.000, 0.000, 0.500) and Cl at (0.000, 0.500, 0.500).

As for the total magnetic moment: 0.08 μB/cell. As for the density of states at the Fermi level: 5.3 states/eV/f.u. The value obtained for the uncorrected formation energy is 0.108 eV/atom. As for the crystal system: tetragonal.

***

Below is a relaxed Zr2HgNCl crystal, with properties calculated at the PBE-GGA level.

It has space group P4/mmm (No. 123), with a = 4.843 Å, b = 4.843 Å, c = 4.148 Å, α = 90.00°, β = 90.00° and γ = 90.00°. The distinct sites, in fractional coordinates, are Zr at (0.000, 0.500, 0.000), Hg at (0.000, 0.000, 0.500), N at (0.500, 0.500, 0.500) and Cl at (0.500, 0.500, 0.000).

As for the total magnetic moment: 0.00 μB/cell. As for the density of states at the Fermi level: 3.0 states/eV/f.u. The value obtained for the uncorrected formation energy is 0.695 eV/atom. As for the crystal system: tetragonal.

***

Below is a relaxed Na12Hg3Cl5 crystal, with properties calculated at the PBE-GGA level.

It has space group Ia-3d (No. 230), with a = 17.240 Å, b = 17.240 Å, c = 17.240 Å, α = 90.00°, β = 90.00° and γ = 90.00°. The distinct sites, in fractional coordinates, are Na at (0.023, 0.065, 0.651), Hg at (0.000, 0.250, 0.125), Cl at (0.000, 0.000, 0.000) and Cl at (0.000, 0.250, 0.375).

As for the total magnetic moment: 12.06 μB/cell. As for the density of states at the Fermi level: 9.8 states/eV/f.u. The value obtained for the uncorrected formation energy is -0.814 eV/atom. As for the crystal system: cubic.